Entry 1:
Entry from Alexandria via LeMat-Bulk: a relaxed structure of CeHg2Cl8 (GGA-PBE).

## Properties
The space-group type is C2/m, No. 12. The value obtained for the total energy is -3.078 eV/atom. The offset from the most stable computed form comes out at 0.013 eV/atom. The crystal system is monoclinic. For the uncorrected formation energy, the calculation gives -1.141 eV per atom.

a b c (Å): 7.6156 7.6156 6.5875
angles (deg): 94.84 94.84 89.75
With the nearest neighbours (Å) after each atom.
Element x y z (fractional)
Ce1 0.0000 0.0000 0.0000  6 Cl 2.60-2.78
Hg1 0.3037 0.3037 0.4830  2 Cl 2.33-2.39
Hg2 0.6963 0.6963 0.5170  2 Cl 2.33-2.39
Cl1 0.0581 0.7255 0.7538  1 Ce 2.60
Cl2 0.2108 0.2108 0.7948  1 Hg 2.39
Cl3 0.2745 0.9419 0.2462  1 Ce 2.60
Cl4 0.4376 0.4376 0.2304  1 Hg 2.33
Cl5 0.5624 0.5624 0.7696  1 Hg 2.33
Cl6 0.7255 0.0581 0.7538  1 Ce 2.60
Cl7 0.7892 0.7892 0.2052  1 Hg 2.39
Cl8 0.9419 0.2745 0.2462  1 Ce 2.60



Entry 2:
Entry from Alexandria via LeMat-Bulk: a relaxed structure of Pr4Dy2Tm3 (GGA-PBE).

## Properties
The space-group type is P-1, No. 2. The value obtained for the total energy is -4.620 eV/atom. The offset from the most stable computed form comes out at 0.000 eV/atom. The crystal system is triclinic.

a b c (Å): 6.1885 7.2059 13.9742
angles (deg): 82.66 85.81 73.26
With the nearest neighbours (Å) after each atom.
Element x y z (fractional)
Pr1 0.0025 0.2488 0.9998  3 Tm 3.57-3.60, 3 Dy 3.58-3.61, 6 Pr 3.59-3.64
Pr2 0.1105 0.0273 0.7761  3 Dy 3.57-3.60, 4 Tm 3.58-3.60, 5 Pr 3.60-3.63
Pr3 0.1118 0.5283 0.7753  4 Tm 3.55-3.60, 3 Dy 3.59-3.60, 5 Pr 3.60-3.64
Pr4 0.2224 0.3038 0.5534  7 Tm 3.55-3.62, 2 Dy 3.57-3.59, 3 Pr 3.58-3.61
Pr5 0.7776 0.6962 0.4466  7 Tm 3.55-3.62, 2 Dy 3.57-3.59, 3 Pr 3.58-3.61
Pr6 0.8882 0.4717 0.2247  4 Tm 3.55-3.60, 3 Dy 3.59-3.60, 5 Pr 3.60-3.64
Pr7 0.8895 0.9727 0.2239  3 Dy 3.57-3.60, 4 Tm 3.58-3.60, 5 Pr 3.60-3.63
Pr8 0.9975 0.7512 0.0002  3 Tm 3.57-3.60, 3 Dy 3.58-3.61, 6 Pr 3.59-3.64
Dy1 0.3346 0.0827 0.3337  5 Pr 3.57-3.59, 6 Tm 3.58-3.61, 1 Dy 3.61
Dy2 0.4454 0.3603 0.1110  6 Pr 3.58-3.61, 4 Tm 3.59-3.62, 2 Dy 3.61
Dy3 0.5546 0.6397 0.8890  6 Pr 3.58-3.61, 4 Tm 3.59-3.62, 2 Dy 3.61
Dy4 0.6654 0.9173 0.6663  5 Pr 3.57-3.59, 6 Tm 3.58-3.61, 1 Dy 3.61
Tm1 0.2234 0.8058 0.5542  6 Pr 3.55-3.62, 3 Dy 3.58-3.60, 3 Tm 3.58-3.59
Tm2 0.3354 0.5833 0.3331  6 Pr 3.55-3.61, 3 Tm 3.59, 3 Dy 3.60-3.61
Tm3 0.4446 0.8613 0.1122  6 Pr 3.57-3.60, 2 Tm 3.59-3.63, 4 Dy 3.59-3.62
Tm4 0.5554 0.1387 0.8878  6 Pr 3.57-3.60, 2 Tm 3.59-3.63, 4 Dy 3.59-3.62
Tm5 0.6646 0.4167 0.6669  6 Pr 3.55-3.61, 3 Tm 3.59, 3 Dy 3.60-3.61
Tm6 0.7766 0.1942 0.4458  6 Pr 3.55-3.62, 3 Dy 3.58-3.60, 3 Tm 3.58-3.59



Entry 3:
Entry from Alexandria via LeMat-Bulk: a relaxed structure of BiPbI2O (GGA-PBE).

## Properties
The space-group type is P4/mmm, No. 123. The value obtained for the total energy is -3.359 eV/atom. The offset from the most stable computed form comes out at 0.000 eV/atom. The crystal system is tetragonal. For the uncorrected formation energy, the calculation gives -0.229 eV per atom.

a b c (Å): 6.1923 6.1923 4.3826
angles (deg): 90.00 90.00 90.00
With the nearest neighbours (Å) after each atom.
Element x y z (fractional)
Bi1 0.0000 0.0000 0.0000  2 O 2.19
Pb1 0.5000 0.5000 0.5000  8 I 3.79
I1 0.0000 0.5000 0.0000  2 Bi 3.10
I2 0.5000 0.0000 0.0000  2 Bi 3.10
O1 0.0000 0.0000 0.5000  2 Bi 2.19



Entry 4:
Entry from Alexandria via LeMat-Bulk: a relaxed structure of ZnW (GGA-PBE).

## Properties
The space-group type is Cmmm, No. 65. The value obtained for the total energy is -6.829 eV/atom. The offset from the most stable computed form comes out at 0.122 eV/atom. The crystal system is orthorhombic.

a b c (Å): 2.6738 2.6738 4.3637
angles (deg): 90.00 90.00 102.62
With the nearest neighbours (Å) after each atom.
Element x y z (fractional)
Zn1 0.0000 0.0000 0.0000  4 Zn 2.67, 4 W 2.75
W1 0.5000 0.5000 0.5000  4 W 2.67, 4 Zn 2.75



Entry 5:
Entry from Alexandria via LeMat-Bulk: a relaxed structure of SrLaAu2 (GGA-PBE).

## Properties
The space-group type is R3m, No. 160. The value obtained for the total energy is -3.998 eV/atom. The crystal system is trigonal.

a b c (Å): 8.1161 8.1161 8.1161
angles (deg): 31.07 31.07 31.07
With the nearest neighbours (Å) after each atom.
Element x y z (fractional)
Sr1 0.0000 0.0000 0.0000  6 Au 3.20-3.28
La1 0.8291 0.8291 0.8291  6 Au 3.07-3.12
Au1 0.2424 0.2424 0.2424  3 La 3.12, 3 Sr 3.28
Au2 0.4192 0.4192 0.4192  3 La 3.07, 3 Sr 3.20



Entry 6:
Entry from Alexandria via LeMat-Bulk: a relaxed structure of MgIn2Ag (GGA-PBE).

## Properties
The space-group type is I4/mmm, No. 139. The value obtained for the total energy is -2.561 eV/atom. The crystal system is tetragonal.

a b c (Å): 9.3323 9.3323 9.3323
angles (deg): 151.98 151.98 40.04
With the nearest neighbours (Å) after each atom.
Element x y z (fractional)
Mg1 0.1403 0.1403 0.0000  4 Ag 2.97, 4 In 3.19
Mg2 0.8597 0.8597 0.0000  4 Ag 2.97, 4 In 3.19
In1 0.0000 0.5000 0.5000  8 In 3.19-3.35, 4 Mg 3.34
In2 0.3592 0.3592 0.0000  4 Ag 2.96, 4 Mg 3.19
In3 0.5000 0.0000 0.5000  8 In 3.19-3.35, 4 Mg 3.34
In4 0.6408 0.6408 0.0000  4 Ag 2.96, 4 Mg 3.19
Ag1 0.2500 0.7500 0.5000  4 In 2.96, 4 Mg 2.97, 4 Ag 3.19
Ag2 0.7500 0.2500 0.5000  4 In 2.96, 4 Mg 2.97, 4 Ag 3.19



Entry 7:
Entry from Alexandria via LeMat-Bulk: a relaxed structure of Sm3CuAg2 (GGA-PBE).

## Properties
The space-group type is P4/mmm, No. 123. The value obtained for the total energy is -4.237 eV/atom. The offset from the most stable computed form comes out at 0.000 eV/atom. The crystal system is tetragonal.

a b c (Å): 3.6439 3.6439 11.0818
angles (deg): 90.00 90.00 90.00
With the nearest neighbours (Å) after each atom.
Element x y z (fractional)
Sm1 0.0000 0.0000 0.0000  8 Ag 3.20
Sm2 0.0000 0.0000 0.3440  4 Cu 3.10, 4 Ag 3.21, 1 Sm 3.46
Sm3 0.0000 0.0000 0.6560  4 Cu 3.10, 4 Ag 3.21, 1 Sm 3.46
Cu1 0.5000 0.5000 0.5000  8 Sm 3.10
Ag1 0.5000 0.5000 0.1718  8 Sm 3.20-3.21
Ag2 0.5000 0.5000 0.8282  8 Sm 3.20-3.21



Entry 8:
Entry from Alexandria via LeMat-Bulk: a relaxed structure of AcIrN (GGA-PBE).

## Properties
The space-group type is P4_2/mmc, No. 131. The value obtained for the total energy is -7.890 eV/atom. The offset from the most stable computed form comes out at 0.000 eV/atom. The crystal system is tetragonal. For the uncorrected formation energy, the calculation gives -0.792 eV per atom.

a b c (Å): 3.8863 3.8863 7.8453
angles (deg): 90.00 90.00 90.00
With the nearest neighbours (Å) after each atom.
Element x y z (fractional)
Ac1 0.0000 0.0000 0.2500  4 N 2.76
Ac2 0.0000 0.0000 0.7500  4 N 2.76
Ir1 0.5000 0.5000 0.0000  2 N 1.94
Ir2 0.5000 0.5000 0.5000  2 N 1.94
N1 0.0000 0.5000 0.0000  2 Ir 1.94
N2 0.5000 0.0000 0.5000  2 Ir 1.94



Entry 9:
Entry from Alexandria via LeMat-Bulk: a relaxed structure of Y2NbNO (GGA-PBE).

## Properties
The space-group type is P4/mmm, No. 123. The value obtained for the total energy is -7.124 eV/atom. The crystal system is tetragonal. For the uncorrected formation energy, the calculation gives 0.132 eV per atom.

a b c (Å): 4.4439 4.4439 4.6112
angles (deg): 90.00 90.00 90.00
With the nearest neighbours (Å) after each atom.
Element x y z (fractional)
Y1 0.0000 0.5000 0.0000  2 O 2.22
Y2 0.5000 0.0000 0.0000  2 O 2.22
Nb1 0.0000 0.0000 0.5000  4 N 3.14, 8 Y 3.20
N1 0.5000 0.5000 0.5000  2 O 2.31
O1 0.5000 0.5000 0.0000  4 Y 2.22, 2 N 2.31



Entry 10:
Entry from Alexandria via LeMat-Bulk: a relaxed structure of Ac2CePrSb4 (GGA-PBE).

## Properties
The space-group type is P2/m, No. 10. The value obtained for the total energy is -5.586 eV/atom. The crystal system is monoclinic. For the uncorrected formation energy, the calculation gives -1.159 eV per atom.

a b c (Å): 8.0792 4.6670 8.0902
angles (deg): 90.00 109.45 90.00
With the nearest neighbours (Å) after each atom.
Element x y z (fractional)
Ac1 0.0000 0.0000 0.0000  6 Sb 3.36
Ac2 0.5000 0.5000 0.0000  6 Sb 3.38
Ce1 0.0000 0.5000 0.5000  6 Sb 3.22
Pr1 0.5000 0.0000 0.5000  6 Sb 3.25
Sb1 0.2423 0.0000 0.7337  2 Ce 3.22, 1 Pr 3.25, 3 Ac 3.36-3.38
Sb2 0.2521 0.5000 0.2646  1 Ce 3.22, 2 Pr 3.25, 3 Ac 3.36-3.38
Sb3 0.7479 0.5000 0.7354  1 Ce 3.22, 2 Pr 3.25, 3 Ac 3.36-3.38
Sb4 0.7577 0.0000 0.2663  2 Ce 3.22, 1 Pr 3.25, 3 Ac 3.36-3.38



Entry 11:
Entry from Alexandria via LeMat-Bulk: a relaxed structure of Ta2BrCl8 (GGA-PBE).

## Properties
The space-group type is C2/m, No. 12. The value obtained for the total energy is -4.857 eV/atom. The crystal system is monoclinic. For the uncorrected formation energy, the calculation gives -1.207 eV per atom.

a b c (Å): 7.2084 7.2084 8.0868
angles (deg): 91.49 91.49 108.19
With the nearest neighbours (Å) after each atom.
Element x y z (fractional)
Ta1 0.1112 0.1112 0.1917  4 Cl 2.29-2.39
Ta2 0.8888 0.8888 0.8083  4 Cl 2.29-2.39
Br1 0.0000 0.0000 0.5000  2 Ta 2.70
Cl1 0.1184 0.7258 0.7992  1 Ta 2.31
Cl2 0.1899 0.1899 0.9109  2 Ta 2.39-2.64
Cl3 0.2742 0.8816 0.2008  1 Ta 2.31
Cl4 0.3675 0.3675 0.2950  1 Ta 2.29
Cl5 0.6325 0.6325 0.7050  1 Ta 2.29
Cl6 0.7258 0.1184 0.7992  1 Ta 2.31
Cl7 0.8101 0.8101 0.0891  2 Ta 2.39-2.64
Cl8 0.8816 0.2742 0.2008  1 Ta 2.31



Entry 12:
Entry from Alexandria via LeMat-Bulk: a relaxed structure of CePuSn2Pd (GGA-PBE).

## Properties
The space-group type is P4/nmm, No. 129. The value obtained for the total energy is -6.948 eV/atom. The crystal system is tetragonal.

a b c (Å): 4.1371 4.1371 14.7272
angles (deg): 90.00 90.00 90.00
With the nearest neighbours (Å) after each atom.
Element x y z (fractional)
Ce1 0.2500 0.7500 0.0000  4 Ce 2.93, 4 Sn 3.22
Ce2 0.7500 0.2500 0.0000  4 Ce 2.93, 4 Sn 3.22
Pu1 0.2500 0.2500 0.2511  5 Sn 3.04-3.17, 4 Pd 3.32
Pu2 0.7500 0.7500 0.7489  5 Sn 3.04-3.17, 4 Pd 3.32
Sn1 0.2500 0.2500 0.4576  1 Pd 2.72, 1 Pu 3.04
Sn2 0.2500 0.2500 0.8322  1 Pd 2.79
Sn3 0.7500 0.7500 0.1678  1 Pd 2.79
Sn4 0.7500 0.7500 0.5424  1 Pd 2.72, 1 Pu 3.04
Pd1 0.2500 0.2500 0.6425  2 Sn 2.72-2.79
Pd2 0.7500 0.7500 0.3575  2 Sn 2.72-2.79